The following is a DFT calculation (GGA+U) of crystalline AlNiW2O8 at its relaxed geometry.

Properties
* M_tot: 6.00 μB/cell
* excess energy over the best structure of this formula in the dataset: 0.0000 eV per atom

Cell: 5.595 5.026 10.346 Å, 62.21 90.00 90.00°
Site moments in Bohr magnetons follow the coordinates.
Sites, in units of the cell vectors:
O (0.872, 0.204, 0.378)  0.00
O (0.385, 0.760, 0.132)  0.00
O (0.369, 0.708, 0.863)  0.01
O (0.883, 0.309, 0.609)  0.01
W (0.161, 0.240, 0.504)  0.55
W (0.839, 0.240, 0.004)  0.55
O (0.117, 0.309, 0.109)  0.01
O (0.631, 0.292, 0.137)  0.01
O (0.872, 0.796, 0.122)  0.00
O (0.117, 0.691, 0.391)  0.01
Al (0.645, 0.500, 0.250)  0.01
O (0.883, 0.691, 0.891)  0.01
W (0.839, 0.760, 0.496)  0.55
O (0.369, 0.292, 0.637)  0.01
Ni (0.644, 0.000, 0.750)  1.77
O (0.128, 0.204, 0.878)  0.00
O (0.631, 0.708, 0.363)  0.01
O (0.615, 0.240, 0.868)  0.00
O (0.385, 0.240, 0.368)  0.00
Ni (0.356, 0.000, 0.250)  1.77
O (0.615, 0.760, 0.632)  0.00
O (0.128, 0.796, 0.622)  0.00
Al (0.355, 0.500, 0.750)  0.01
W (0.161, 0.760, 0.996)  0.55